Record 1
# GdDyFeIr

A geometry-optimized GdDyFeIr structure (PBE, Alexandria).

Its magnetization is 5.5 μB/f.u. As for the formation energy: -0.31 eV/atom. As for the volume: 20.14 Å³ per atom. The calculation puts the total energy at -9.312 eV per atom.

It has space group F-43m (No. 216), with a = 6.8559 Å, b = 6.8559 Å, c = 6.8559 Å, α = 90.00°, β = 90.00° and γ = 90.00°. The asymmetric unit holds Gd at (0.0000, 0.0000, 0.0000), Dy at (0.0000, 0.0000, 0.5000), Fe at (0.2500, 0.2500, 0.2500) and Ir at (0.2500, 0.2500, 0.7500).

=====

Record 2
# LiGdDyFe

A geometry-optimized LiGdDyFe structure (PBE, Alexandria).

Its magnetization is 6.6 μB/f.u. As for the formation energy: 0.09 eV/atom. As for the volume: 20.63 Å³ per atom. The calculation puts the total energy at -7.173 eV per atom.

It has space group F-43m (No. 216), with a = 6.9110 Å, b = 6.9110 Å, c = 6.9110 Å, α = 90.00°, β = 90.00° and γ = 90.00°. The asymmetric unit holds Li at (0.0000, 0.0000, 0.0000), Gd at (0.2500, 0.2500, 0.2500), Dy at (0.2500, 0.2500, 0.7500) and Fe at (0.0000, 0.0000, 0.5000).

=====

Record 3
# GdDyMgFe

A geometry-optimized GdDyMgFe structure (PBE, Alexandria).

Its magnetization is 5.7 μB/f.u. As for the formation energy: 0.12 eV/atom. As for the volume: 23.15 Å³ per atom. The calculation puts the total energy at -7.069 eV per atom.

It has space group F-43m (No. 216), with a = 7.1813 Å, b = 7.1813 Å, c = 7.1813 Å, α = 90.00°, β = 90.00° and γ = 90.00°. The asymmetric unit holds Gd at (0.0000, 0.0000, 0.0000), Dy at (0.0000, 0.0000, 0.5000), Mg at (0.2500, 0.2500, 0.2500) and Fe at (0.2500, 0.2500, 0.7500).

=====

Record 4
# GdDyFeNi

A geometry-optimized GdDyFeNi structure (PBE, Alexandria).

Its magnetization is 6.3 μB/f.u. As for the formation energy: -0.07 eV/atom. As for the volume: 19.22 Å³ per atom. The calculation puts the total energy at -8.300 eV per atom.

It has space group F-43m (No. 216), with a = 6.7496 Å, b = 6.7496 Å, c = 6.7496 Å, α = 90.00°, β = 90.00° and γ = 90.00°. The asymmetric unit holds Gd at (0.0000, 0.0000, 0.0000), Dy at (0.0000, 0.0000, 0.5000), Fe at (0.2500, 0.2500, 0.7500) and Ni at (0.2500, 0.2500, 0.2500).

=====

Record 5
# GdDyFePd

A geometry-optimized GdDyFePd structure (PBE, Alexandria).

Its magnetization is 6.2 μB/f.u. As for the formation energy: -0.30 eV/atom. As for the volume: 20.63 Å³ per atom. The calculation puts the total energy at -8.383 eV per atom.

It has space group F-43m (No. 216), with a = 6.9110 Å, b = 6.9110 Å, c = 6.9110 Å, α = 90.00°, β = 90.00° and γ = 90.00°. The asymmetric unit holds Gd at (0.0000, 0.0000, 0.0000), Dy at (0.0000, 0.0000, 0.5000), Fe at (0.2500, 0.2500, 0.7500) and Pd at (0.2500, 0.2500, 0.2500).

=====

Record 6
# GdDyFeRh

A geometry-optimized GdDyFeRh structure (PBE, Alexandria).

Its magnetization is 5.4 μB/f.u. As for the formation energy: -0.29 eV/atom. As for the volume: 20.15 Å³ per atom. The calculation puts the total energy at -8.912 eV per atom.

It has space group F-43m (No. 216), with a = 6.8571 Å, b = 6.8571 Å, c = 6.8571 Å, α = 90.00°, β = 90.00° and γ = 90.00°. The asymmetric unit holds Gd at (0.0000, 0.0000, 0.0000), Dy at (0.0000, 0.0000, 0.5000), Fe at (0.2500, 0.2500, 0.2500) and Rh at (0.2500, 0.2500, 0.7500).

=====

Record 7
# DyFeGe2

A geometry-optimized DyFeGe2 structure (PBE, Alexandria).

Its magnetization is 1.2 μB/f.u. As for the formation energy: -0.47 eV/atom. As for the volume: 17.82 Å³ per atom. The calculation puts the total energy at -6.045 eV per atom.

It has space group R-3m (No. 166, hexagonal axes), with a = 4.0597 Å, b = 4.0597 Å, c = 14.9791 Å, α = 90.00°, β = 90.00° and γ = 120.00°. The asymmetric unit holds Dy at (0.0000, 0.0000, 0.0000), Fe at (0.0000, 0.0000, 0.5000) and Ge at (0.0000, 0.0000, 0.2176).

=====

Record 8
# DyFe2Ge4

A geometry-optimized DyFe2Ge4 structure (PBE, Alexandria).

Its magnetization is 0.0 μB/f.u. As for the formation energy: -0.31 eV/atom. As for the volume: 15.81 Å³ per atom. The calculation puts the total energy at -6.025 eV per atom.

It has space group Pnma (No. 62), with a = 16.6526 Å, b = 4.0264 Å, c = 6.6028 Å, α = 90.00°, β = 90.00° and γ = 90.00°. The asymmetric unit holds Dy at (0.1429, 0.2500, 0.0480), Fe at (0.0420, 0.7500, 0.7568), Fe at (0.2046, 0.2500, 0.5348), Ge at (0.0240, 0.7500, 0.1339), Ge at (0.0610, 0.2500, 0.5032), Ge at (0.1898, 0.7500, 0.7506) and Ge at (0.1949, 0.7500, 0.3272).

=====

Record 9
# Dy2FeGe3

A geometry-optimized Dy2FeGe3 structure (PBE, Alexandria).

Its magnetization is 0.8 μB/f.u. As for the formation energy: -0.55 eV/atom. As for the volume: 19.48 Å³ per atom. The calculation puts the total energy at -5.801 eV per atom.

It has space group Cm (No. 8), with a = 10.4167 Å, b = 4.2338 Å, c = 6.9911 Å, α = 90.00°, β = 130.71° and γ = 90.00°. The asymmetric unit holds Dy at (0.0000, 0.0000, 0.0000), Dy at (0.1106, 0.0000, 0.5901), Fe at (0.2325, 0.5000, 0.0457), Ge at (0.2432, 0.5000, 0.4071), Ge at (0.3584, 0.0000, 0.1650) and Ge at (0.4514, 0.0000, 0.6688).

=====

Record 10
# DyFeGe

A geometry-optimized DyFeGe structure (PBE, Alexandria).

Its magnetization is 0.3 μB/f.u. As for the formation energy: -0.52 eV/atom. As for the volume: 18.47 Å³ per atom. The calculation puts the total energy at -6.409 eV per atom.

It has space group I4/mmm (No. 139), with a = 4.0649 Å, b = 4.0649 Å, c = 13.4118 Å, α = 90.00°, β = 90.00° and γ = 90.00°. The asymmetric unit holds Dy at (0.0000, 0.0000, 0.1489), Fe at (0.0000, 0.5000, 0.0000) and Ge at (0.0000, 0.0000, 0.3932).

=====

Record 11
# Dy2Fe3Ge4

A geometry-optimized Dy2Fe3Ge4 structure (PBE, Alexandria).

Its magnetization is 3.9 μB/f.u. As for the formation energy: -0.43 eV/atom. As for the volume: 16.28 Å³ per atom. Its energy relative to the lowest polymorph listed for this composition is 0.0000 eV/atom. The calculation puts the total energy at -6.322 eV per atom.

It has space group Cmce (No. 64), with a = 5.4633 Å, b = 14.6314 Å, c = 7.3338 Å, α = 90.00°, β = 90.00° and γ = 90.00°. The asymmetric unit holds Dy at (0.0000, 0.1115, 0.0942), Fe at (0.0000, 0.0000, 0.5000), Fe at (0.2500, 0.2236, 0.7500), Ge at (0.0000, 0.1849, 0.4736) and Ge at (0.2500, 0.0566, 0.7500).

=====

Record 12
# Dy2Fe3Ge5

A geometry-optimized Dy2Fe3Ge5 structure (PBE, Alexandria).

Its magnetization is 0.0 μB/f.u. As for the formation energy: -0.48 eV/atom. As for the volume: 16.22 Å³ per atom. The calculation puts the total energy at -6.246 eV per atom.

It has space group Ibam (No. 72), with a = 9.5646 Å, b = 12.0879 Å, c = 5.6113 Å, α = 90.00°, β = 90.00° and γ = 90.00°. The asymmetric unit holds Dy at (0.2304, 0.1423, 0.0000), Fe at (0.0000, 0.5000, 0.2500), Fe at (0.0901, 0.1461, 0.5000), Ge at (0.0000, 0.0000, 0.2500), Ge at (0.0000, 0.2896, 0.2500) and Ge at (0.1770, 0.4143, 0.0000).

=====

Record 13
# DyFe6Ge6

A geometry-optimized DyFe6Ge6 structure (PBE, Alexandria).

Its magnetization is 11.6 μB/f.u. As for the formation energy: -0.28 eV/atom. As for the volume: 14.18 Å³ per atom. Its energy relative to the lowest polymorph listed for this composition is 0.0000 eV/atom. The calculation puts the total energy at -6.672 eV per atom.

It has space group Immm (No. 71), with a = 5.1164 Å, b = 8.1525 Å, c = 8.8416 Å, α = 90.00°, β = 90.00° and γ = 90.00°. The asymmetric unit holds Dy at (0.0000, 0.0000, 0.0000), Fe at (0.0000, 0.2486, 0.5000), Fe at (0.2500, 0.2500, 0.2500), Ge at (0.0000, 0.0000, 0.3370), Ge at (0.0000, 0.3470, 0.0000) and Ge at (0.0000, 0.5000, 0.3306).

=====

Record 14
# DyFeGe2

A geometry-optimized DyFeGe2 structure (PBE, Alexandria).

Its magnetization is 0.5 μB/f.u. As for the formation energy: -0.52 eV/atom. As for the volume: 17.75 Å³ per atom. The calculation puts the total energy at -6.097 eV per atom.

It has space group Pnma (No. 62), with a = 6.8457 Å, b = 4.1523 Å, c = 9.9905 Å, α = 90.00°, β = 90.00° and γ = 90.00°. The asymmetric unit holds Dy at (0.1761, 0.2500, 0.1274), Fe at (0.0197, 0.7500, 0.3893), Ge at (0.1319, 0.2500, 0.8182) and Ge at (0.1816, 0.2500, 0.4266).

=====

Record 15
# DyFeGe

A geometry-optimized DyFeGe structure (PBE, Alexandria).

Its magnetization is 1.6 μB/f.u. As for the formation energy: -0.41 eV/atom. As for the volume: 18.95 Å³ per atom. The calculation puts the total energy at -6.307 eV per atom.

It has space group P-6m2 (No. 187), with a = 4.1687 Å, b = 4.1687 Å, c = 3.7770 Å, α = 90.00°, β = 90.00° and γ = 120.00°. The asymmetric unit holds Dy at (0.0000, 0.0000, 0.0000), Fe at (0.6667, 0.3333, 0.5000) and Ge at (0.3333, 0.6667, 0.5000).

=====

Record 16
# DyFeGe

A geometry-optimized DyFeGe structure (PBE, Alexandria).

Its magnetization is 0.0 μB/f.u. As for the formation energy: -0.17 eV/atom. As for the volume: 20.71 Å³ per atom. The calculation puts the total energy at -6.066 eV per atom.

It has space group Cmcm (No. 63), with a = 4.1867 Å, b = 13.2583 Å, c = 4.4771 Å, α = 90.00°, β = 90.00° and γ = 90.00°. The asymmetric unit holds Dy at (0.0000, 0.1212, 0.2500), Fe at (0.0000, 0.5000, 0.0000) and Ge at (0.0000, 0.3424, 0.2500).

=====

Record 17
# DyFe6Ge6

A geometry-optimized DyFe6Ge6 structure (PBE, Alexandria).

Its magnetization is 11.2 μB/f.u. As for the formation energy: -0.28 eV/atom. As for the volume: 14.16 Å³ per atom. Its energy relative to the lowest polymorph listed for this composition is 0.0023 eV/atom. The calculation puts the total energy at -6.670 eV per atom.

It has space group Cmcm (No. 63), with a = 8.1418 Å, b = 17.6794 Å, c = 5.1162 Å, α = 90.00°, β = 90.00° and γ = 90.00°. The asymmetric unit holds Dy at (0.0000, 0.1272, 0.2500), Fe at (0.2493, 0.0000, 0.0000), Fe at (0.2500, 0.1250, 0.7500), Fe at (0.2500, 0.2500, 0.0000), Ge at (0.0000, 0.0422, 0.7500), Ge at (0.0000, 0.2111, 0.7500), Ge at (0.0000, 0.2956, 0.2500), Ge at (0.0000, 0.4593, 0.2500) and Ge at (0.1535, 0.3756, 0.7500).

=====

Record 18
# Dy2Fe3Ge4

A geometry-optimized Dy2Fe3Ge4 structure (PBE, Alexandria).

Its magnetization is 4.7 μB/f.u. As for the formation energy: -0.41 eV/atom. As for the volume: 16.81 Å³ per atom. Its energy relative to the lowest polymorph listed for this composition is 0.0120 eV/atom. The calculation puts the total energy at -6.310 eV per atom.

It has space group Fmmm (No. 69), with a = 5.2659 Å, b = 9.3236 Å, c = 12.3252 Å, α = 90.00°, β = 90.00° and γ = 90.00°. The asymmetric unit holds Dy at (0.0000, 0.0000, 0.1361), Fe at (0.0000, 0.0000, 0.5000), Fe at (0.2500, 0.2500, 0.0000) and Ge at (0.0000, 0.1689, 0.3432).

=====

Record 19
# DyFe4Ge12

A geometry-optimized DyFe4Ge12 structure (PBE, Alexandria).

Its magnetization is 4.6 μB/f.u. As for the formation energy: 0.04 eV/atom. As for the volume: 17.76 Å³ per atom. The calculation puts the total energy at -5.484 eV per atom.

It has space group Im-3 (No. 204), with a = 8.4524 Å, b = 8.4524 Å, c = 8.4524 Å, α = 90.00°, β = 90.00° and γ = 90.00°. The asymmetric unit holds Dy at (0.0000, 0.0000, 0.0000), Fe at (0.2500, 0.2500, 0.2500) and Ge at (0.0000, 0.3393, 0.1652).

=====

Record 20
# Dy3Fe2Ge4

A geometry-optimized Dy3Fe2Ge4 structure (PBE, Alexandria).

Its magnetization is 0.0 μB/f.u. As for the formation energy: -0.64 eV/atom. As for the volume: 18.85 Å³ per atom. The calculation puts the total energy at -6.103 eV per atom.

It has space group C2/m (No. 12), with a = 10.5734 Å, b = 4.2184 Å, c = 8.0083 Å, α = 90.00°, β = 108.24° and γ = 90.00°. The asymmetric unit holds Dy at (0.0000, 0.0000, 0.0000), Dy at (0.1219, 0.5000, 0.6934), Fe at (0.1855, 0.5000, 0.3648), Ge at (0.1016, 0.0000, 0.4029) and Ge at (0.2116, 0.5000, 0.0835).